# 1
CaSb2HI: optimized geometry, PBE-GGA.

## Properties
As for the total energy: -14.29 eV/cell. As for the crystal system: tetragonal.

Cell lengths 6.243, 6.243, 3.686 Å; angles 90.00, 90.00, 90.00 degrees
Space group P4/mmm (No. 123)
Symmetry-distinct sites (fractional):
Ca  0.000  0.000  0.000 (multiplicity 1)
Sb  0.000  0.500  0.500 (multiplicity 2)
H  0.500  0.500  0.000 (multiplicity 1)
I  0.500  0.500  0.500 (multiplicity 1)


# 2
Ac2GeAsPd6: optimized geometry, PBE-GGA.

## Properties
The value obtained for the calculated formation energy is -0.76 eV per atom. As for the crystal system: triclinic.

Cell lengths 5.617, 6.767, 6.812 Å; angles 75.74, 65.70, 65.53 degrees
Space group P-1 (No. 2)
Symmetry-distinct sites (fractional):
Ac  0.248  0.222  0.280 (multiplicity 2)
Ge  0.000  0.000  0.000 (multiplicity 1)
As  0.500  0.500  0.500 (multiplicity 1)
Pd  0.250  0.753  0.248 (multiplicity 2)
Pd  0.251  0.247  0.753 (multiplicity 2)
Pd  0.251  0.610  0.892 (multiplicity 2)


# 3
TcHg2Pt: optimized geometry, PBE-GGA.

## Properties
The value obtained for the calculated formation energy is 0.20 eV per atom. As for the crystal system: monoclinic.

Cell lengths 2.927, 2.880, 8.959 Å; angles 90.00, 99.31, 90.00 degrees
Space group Pm (No. 6)
Symmetry-distinct sites (fractional):
Tc  0.000  0.000  0.000 (multiplicity 1)
Hg  0.225  0.000  0.449 (multiplicity 1)
Hg  0.380  0.500  0.756 (multiplicity 1)
Pt  0.596  0.500  0.194 (multiplicity 1)


# 4
TaTc2Pt: optimized geometry, PBE-GGA.

## Properties
The value obtained for the calculated formation energy is -0.01 eV per atom. As for the crystal system: cubic.

Cell lengths 6.331, 6.331, 6.331 Å; angles 90.00, 90.00, 90.00 degrees
Space group F-43m (No. 216)
Symmetry-distinct sites (fractional):
Ta  0.000  0.000  0.000 (multiplicity 4)
Tc  0.000  0.000  0.500 (multiplicity 4)
Tc  0.250  0.250  0.250 (multiplicity 4)
Pt  0.250  0.250  0.750 (multiplicity 4)


# 5
ZrSn2Ru2: optimized geometry, PBE-GGA.

## Properties
The value obtained for the calculated formation energy is -0.19 eV per atom. As for the crystal system: tetragonal.

Cell lengths 7.595, 7.595, 3.214 Å; angles 90.00, 90.00, 90.00 degrees
Space group P4/mbm (No. 127)
Symmetry-distinct sites (fractional):
Zr  0.000  0.000  0.000 (multiplicity 2)
Sn  0.159  0.341  0.500 (multiplicity 4)
Ru  0.138  0.638  0.000 (multiplicity 4)


# 6
Er6TmSc8: optimized geometry, PBE-GGA.

## Properties
The value obtained for the calculated formation energy is 0.14 eV per atom. As for the crystal system: trigonal.

Cell lengths 8.5401, 8.5401, 19.7206 Å; angles 90.00, 90.00, 120.00 degrees
Space group R-3 (No. 148, hexagonal axes)
Symmetry-distinct sites (fractional):
Er  0.0691  0.8184  0.2100 (multiplicity 18)
Tm  0.0000  0.0000  0.5000 (multiplicity 3)
Sc  0.0000  0.0000  0.0743 (multiplicity 6)
Sc  0.0806  0.5270  0.3100 (multiplicity 18)


# 7
LaYPS2: optimized geometry, PBE-GGA.

## Properties
Its formation energy from raw total energies is -0.55 eV/atom. As for the crystal system: tetragonal.

Cell lengths 5.333, 5.333, 5.327 Å; angles 90.00, 90.00, 90.00 degrees
Space group P4/mmm (No. 123)
Symmetry-distinct sites (fractional):
La  0.000  0.000  0.000 (multiplicity 1)
Y  0.500  0.500  0.500 (multiplicity 1)
P  0.000  0.000  0.500 (multiplicity 1)
S  0.000  0.500  0.000 (multiplicity 2)


# 8
NaSiSbS4: optimized geometry, PBE-GGA.

## Properties
Its formation energy from raw total energies is -0.62 eV/atom. As for the crystal system: orthorhombic.

Cell lengths 7.324, 11.120, 8.715 Å; angles 90.00, 90.00, 90.00 degrees
Space group Cmcm (No. 63)
Symmetry-distinct sites (fractional):
Na  0.000  0.000  0.000 (multiplicity 4)
Si  0.000  0.374  0.250 (multiplicity 4)
Sb  0.000  0.329  0.750 (multiplicity 4)
S  0.000  0.264  0.056 (multiplicity 8)
S  0.226  0.497  0.750 (multiplicity 8)